[1]
A geometry-optimized La3Pr5Tl3 structure. Source: Alexandria, functional PBE.

Unit cell a=3.524 b=11.201 c=11.201 alpha=120.00 beta=90.00 gamma=90.00
Fractional coordinates of all 11 atoms:
Pr: 0.500 0.667 0.333
Pr: 0.500 0.302 0.302
Pr: 0.500 0.698 0.000
Pr: 0.500 0.000 0.698
Pr: 0.500 0.333 0.667
Tl: 0.000 0.158 0.000
Tl: 0.000 0.842 0.842
Tl: 0.000 0.000 0.158
La: 0.500 0.600 0.600
La: 0.500 0.000 0.400
La: 0.500 0.400 0.000

Properties
Energy of formation ... 120 meV/atom
Symmetry ... No. 189
Theoretical density ... 7.52 Mg/m³
E_tot ... -4.041 eV/atom
Crystal system ... hexagonal
Volume ... 382.8 Å³/f.u.

=====

[2]
A geometry-optimized La4Pr3Tl4 structure. Source: Alexandria, functional PBE.

Unit cell a=3.816 b=9.649 c=11.293 alpha=115.29 beta=99.73 gamma=90.00
Fractional coordinates of all 11 atoms:
La: 0.336 0.165 0.672
La: 0.664 0.492 0.328
La: 0.336 0.508 0.672
La: 0.664 0.835 0.328
Pr: 0.000 0.500 0.000
Pr: 0.094 0.094 0.188
Pr: 0.906 0.906 0.812
Tl: 0.276 0.776 0.551
Tl: 0.500 0.221 0.000
Tl: 0.724 0.224 0.449
Tl: 0.500 0.779 0.000

Properties
Energy of formation ... -284 meV/atom
Symmetry ... No. 71
Theoretical density ... 8.07 Mg/m³
E_tot ... -4.239 eV/atom
Crystal system ... orthorhombic
Volume ... 369.3 Å³/f.u.

=====

[3]
A geometry-optimized LaPr4Tl structure. Source: Alexandria, functional PBE.

Unit cell a=5.890 b=6.644 c=11.280 alpha=90.00 beta=105.13 gamma=90.00
Fractional coordinates of all 12 atoms:
Pr: 0.250 0.599 0.500
Pr: 0.312 0.067 0.625
Pr: 0.542 0.400 0.085
Pr: 0.458 0.900 0.915
Pr: 0.061 0.715 0.121
Pr: 0.939 0.215 0.879
Pr: 0.688 0.567 0.375
Pr: 0.750 0.099 0.500
Tl: 0.604 0.953 0.207
Tl: 0.396 0.453 0.793
La: 0.135 0.198 0.270
La: 0.865 0.698 0.730

Properties
ΔE to the lowest computed polymorph ... 107 meV/atom
Energy of formation ... -2 meV/atom
Symmetry ... No. 36
Theoretical density ... 7.07 Mg/m³
E_tot ... -4.404 eV/atom
Crystal system ... orthorhombic
Volume ... 213.0 Å³/f.u.

=====

[4]
A geometry-optimized La3Pr3Tl2 structure. Source: Alexandria, functional PBE.

Unit cell a=5.502 b=6.883 c=15.938 alpha=90.00 beta=90.00 gamma=113.56
Fractional coordinates of all 16 atoms:
La: 0.957 0.915 0.389
La: 0.716 0.432 0.250
La: 0.043 0.085 0.611
La: 0.043 0.085 0.889
La: 0.957 0.915 0.111
La: 0.284 0.568 0.750
Pr: 0.560 0.121 0.750
Pr: 0.367 0.733 0.531
Pr: 0.440 0.879 0.250
Pr: 0.633 0.267 0.469
Pr: 0.367 0.733 0.969
Pr: 0.633 0.267 0.031
Tl: 0.220 0.440 0.366
Tl: 0.780 0.560 0.866
Tl: 0.780 0.560 0.634
Tl: 0.220 0.440 0.134

Properties
ΔE to the lowest computed polymorph ... 99 meV/atom
Energy of formation ... -129 meV/atom
Symmetry ... No. 63
Theoretical density ... 7.49 Mg/m³
E_tot ... -4.360 eV/atom
Crystal system ... orthorhombic
Volume ... 276.6 Å³/f.u.

=====

[5]
A geometry-optimized La3PrTl structure. Source: Alexandria, functional PBE.

Unit cell a=6.038 b=6.003 c=9.768 alpha=90.00 beta=72.00 gamma=90.00
Fractional coordinates of all 10 atoms:
La: 0.073 0.750 0.502
La: 0.268 0.750 0.113
La: 0.882 0.750 0.885
La: 0.767 0.250 0.115
La: 0.381 0.250 0.887
La: 0.575 0.250 0.498
Pr: 0.471 0.750 0.706
Pr: 0.177 0.250 0.294
Tl: 0.673 0.750 0.302
Tl: 0.975 0.250 0.698

Properties
ΔE to the lowest computed polymorph ... 0 meV/atom
Energy of formation ... -106 meV/atom
Symmetry ... No. 63
Theoretical density ... 7.52 Mg/m³
E_tot ... -4.492 eV/atom
Crystal system ... orthorhombic
Volume ... 168.4 Å³/f.u.

=====

[6]
A geometry-optimized La2PrTl structure. Source: Alexandria, functional PBE.

Unit cell a=5.725 b=5.725 c=5.725 alpha=60.00 beta=60.00 gamma=60.00
Fractional coordinates of all 4 atoms:
Tl: 0.500 0.500 0.500
Pr: 0.000 0.000 0.000
La: 0.250 0.250 0.250
La: 0.750 0.750 0.750

Properties
ΔE to the lowest computed polymorph ... 146 meV/atom
Energy of formation ... -87 meV/atom
Symmetry ... No. 225
Theoretical density ... 7.80 Mg/m³
E_tot ... -4.337 eV/atom
Crystal system ... cubic
Volume ... 132.6 Å³/f.u.

=====

[7]
A geometry-optimized La5Pr4Tl structure. Source: Alexandria, functional PBE.

Unit cell a=6.324 b=8.214 c=8.214 alpha=81.48 beta=67.36 gamma=67.36
Fractional coordinates of all 10 atoms:
La: 0.138 0.622 0.999
La: 0.760 0.999 0.378
La: 0.138 0.001 0.622
La: 0.683 0.000 0.000
La: 0.760 0.378 0.001
Pr: 0.144 0.314 0.313
Pr: 0.770 0.686 0.687
Pr: 0.457 0.687 0.314
Pr: 0.457 0.313 0.686
Tl: 0.203 0.000 0.000

Properties
ΔE to the lowest computed polymorph ... 90 meV/atom
Energy of formation ... 84 meV/atom
Symmetry ... No. 79
Theoretical density ... 6.68 Mg/m³
E_tot ... -4.528 eV/atom
Crystal system ... tetragonal
Volume ... 363.4 Å³/f.u.

=====

[8]
A geometry-optimized La2PrTl structure. Source: Alexandria, functional PBE.

Unit cell a=3.821 b=3.821 c=11.424 alpha=80.30 beta=80.30 gamma=59.96
Fractional coordinates of all 4 atoms:
Pr: 0.500 0.500 0.500
La: 0.256 0.256 0.232
La: 0.078 0.078 0.768
Tl: 0.667 0.667 0.000

Properties
ΔE to the lowest computed polymorph ... 126 meV/atom
Energy of formation ... -106 meV/atom
Symmetry ... No. 8
Theoretical density ... 7.30 Mg/m³
E_tot ... -4.357 eV/atom
Crystal system ... monoclinic
Volume ... 141.7 Å³/f.u.